Entry 1:
The following is a DFT calculation (GGA-PBE) of a relaxed Sr5Pa3Bi8 crystal.

uncorrected energy: -4.837 eV/atom
Fermi-level density of states: 10.5 states/eV per cell
SG: R-3m (166)
formation enthalpy at 0 K: -591 meV per atom

The structure in POSCAR format:
```
Sr5Pa3Bi8
1.0
-4.084 8.088 2.436
2.855 4.570 7.680
4.749 8.097 -0.853
Bi Pa Sr
8 3 5
direct
0.750 0.225 0.275
0.759 0.759 0.722
0.250 0.775 0.725
0.775 0.250 0.725
0.750 0.750 0.275
0.241 0.241 0.278
0.225 0.750 0.275
0.250 0.250 0.725
0.000 0.500 0.500
0.500 0.000 0.500
0.000 0.000 0.500
0.500 0.000 0.000
0.000 0.000 0.000
0.000 0.500 0.000
0.500 0.500 0.500
0.500 0.500 0.000
```

***

Entry 2:
The following is a DFT calculation (GGA-PBE) of a relaxed LiSc2H4 crystal.

uncorrected energy: -4.376 eV/atom
Fermi-level density of states: 3.6 states/eV per cell
SG: I4/mmm (139)

The structure in POSCAR format:
```
LiSc2H4
1.0
-0.977 1.799 -2.650
-3.203 -0.536 0.817
-2.065 5.244 2.206
Sc Li H
2 1 4
direct
0.345 0.345 0.309
0.655 0.655 0.691
0.000 0.000 0.000
0.000 0.500 0.000
0.500 0.000 0.000
0.166 0.166 0.668
0.834 0.834 0.332
```

***

Entry 3:
The following is a DFT calculation (GGA-PBE) of a relaxed KTe3Pd crystal.

uncorrected energy: -3.535 eV/atom
energy above the lowest structure with this stoichiometry: 0 meV/atom
Fermi-level density of states: 2.9 states/eV per cell
SG: C2/m (12)
formation energy without anion corrections: -0.3919 eV/atom

The structure in POSCAR format:
```
KTe3Pd
1.0
5.225 0.000 0.000
-2.612 7.497 -0.487
0.000 -1.319 8.621
Te Pd K
6 2 2
direct
0.906 0.812 0.428
0.293 0.587 0.115
0.054 0.108 0.152
0.707 0.413 0.885
0.946 0.892 0.848
0.094 0.188 0.572
0.135 0.269 0.891
0.865 0.731 0.109
0.668 0.337 0.334
0.332 0.663 0.666
```

***

Entry 4:
The following is a DFT calculation (GGA-PBE) of a relaxed Er2Mg3In crystal.

uncorrected energy: -2.966 eV/atom
Fermi-level density of states: 8.7 states/eV per cell
SG: Fmmm (69)
formation enthalpy at 0 K: -191 meV per atom

The structure in POSCAR format:
```
Er2Mg3In
1.0
-5.121 -3.114 1.264
0.192 -2.740 5.475
-0.980 10.098 0.339
Er In Mg
4 2 6
direct
0.748 0.252 0.000
0.250 0.750 0.500
0.750 0.250 0.500
0.252 0.748 0.000
0.666 0.666 0.332
0.334 0.334 0.668
0.667 0.667 0.834
0.833 0.833 0.666
0.832 0.832 0.166
0.167 0.167 0.334
0.333 0.333 0.166
0.168 0.168 0.834
```

***

Entry 5:
The following is a DFT calculation (GGA-PBE) of a relaxed InNiPtRh crystal.

uncorrected energy: -5.658 eV/atom
Fermi-level density of states: 5.5 states/eV per cell
SG: F-43m (216)
formation enthalpy at 0 K: -180 meV per atom

The structure in POSCAR format:
```
InNiPtRh
1.0
4.429 0.000 0.000
2.215 3.836 0.000
2.215 1.279 3.617
In Rh Pt Ni
1 1 1 1
direct
0.500 0.500 0.500
0.250 0.250 0.250
0.750 0.750 0.750
0.000 0.000 0.000
```

***

Entry 6:
The following is a DFT calculation (GGA-PBE) of a relaxed CsKCd10 crystal.

uncorrected energy: -0.980 eV/atom
Fermi-level density of states: 5.7 states/eV per cell
SG: Pmmm (47)
formation enthalpy at 0 K: -55 meV per atom

The structure in POSCAR format:
```
CsKCd10
1.0
4.753 0.000 0.000
0.000 6.558 0.000
0.000 0.000 11.270
K Cd Cs
1 10 1
direct
0.000 0.000 0.000
0.500 0.240 0.763
0.000 0.000 0.673
0.500 0.760 0.763
0.500 0.760 0.237
0.000 0.500 0.160
0.500 0.000 0.500
0.500 0.240 0.237
0.000 0.500 0.840
0.500 0.500 0.000
0.000 0.000 0.327
0.000 0.500 0.500
```

***

Entry 7:
The following is a DFT calculation (GGA-PBE) of a relaxed Ac2GeSbO6 crystal.

uncorrected energy: -6.838 eV/atom
Fermi-level density of states: 2.8 states/eV per cell
SG: P4mm (99)
formation energy without anion corrections: -2.1675 eV/atom

The structure in POSCAR format:
```
Ac2GeSbO6
1.0
-4.463 2.208 -1.052
-2.607 -5.082 0.396
-0.879 0.887 5.588
O Ac Sb Ge
6 2 1 1
direct
0.244 0.000 0.000
0.036 0.500 0.500
0.724 0.230 0.230
0.724 0.770 0.230
0.724 0.230 0.770
0.724 0.770 0.770
0.026 0.500 0.000
0.026 0.000 0.500
0.616 0.500 0.500
0.602 0.000 0.000
```

***

Entry 8:
The following is a DFT calculation (GGA-PBE) of a relaxed Sm5Cu2Ge crystal.

uncorrected energy: -4.850 eV/atom
Fermi-level density of states: 20.3 states/eV per cell
SG: I4/mcm (140)
formation enthalpy at 0 K: -299 meV per atom

The structure in POSCAR format:
```
Sm5Cu2Ge
1.0
6.669 0.000 -3.148
-1.486 6.502 -3.148
0.266 0.334 9.202
Sm Cu Ge
10 4 2
direct
0.817 0.984 0.301
0.500 0.500 0.000
0.317 0.817 0.301
0.183 0.016 0.699
0.683 0.183 0.699
0.016 0.516 0.699
0.484 0.317 0.301
0.516 0.683 0.699
0.984 0.484 0.301
0.000 0.000 0.000
0.121 0.379 0.000
0.379 0.879 0.000
0.879 0.621 0.000
0.621 0.121 0.000
0.250 0.250 0.500
0.750 0.750 0.500
```

***

> The lowest Fermi-level density of states belongs to which entry?

Ac2GeSbO6

***

Copy entry 6 word for word.
The following is a DFT calculation (GGA-PBE) of a relaxed CsKCd10 crystal.

uncorrected energy: -0.980 eV/atom
Fermi-level density of states: 5.7 states/eV per cell
SG: Pmmm (47)
formation enthalpy at 0 K: -55 meV per atom

The structure in POSCAR format:
```
CsKCd10
1.0
4.753 0.000 0.000
0.000 6.558 0.000
0.000 0.000 11.270
K Cd Cs
1 10 1
direct
0.000 0.000 0.000
0.500 0.240 0.763
0.000 0.000 0.673
0.500 0.760 0.763
0.500 0.760 0.237
0.000 0.500 0.160
0.500 0.000 0.500
0.500 0.240 0.237
0.000 0.500 0.840
0.500 0.500 0.000
0.000 0.000 0.327
0.000 0.500 0.500
```

***

> The lowest Fermi-level density of states belongs to which entry?

Ac2GeSbO6

***

> Which of these has the highest uncorrected energy?

CsKCd10